This record from Alexandria describes a relaxed ReAsCl2 crystal. The functional is PBE. Values from VASP.

Calculated values
- space-group type = Cmmm, No. 65
- raw formation energy (eV/atom) = -0.0659
- M_tot (μB/f.u.) = 0.00

Cell and atoms, written as Quantum ESPRESSO input:
```
&SYSTEM
  ibrav = 0, nat = 4, ntyp = 3
/
ATOMIC_SPECIES
Re 186.21 Re.upf
As 74.92 As.upf
Cl 35.45 Cl.upf
CELL_PARAMETERS angstrom
2.401 -6.989 0.000
2.401 6.989 0.000
0.000 0.000 3.139
ATOMIC_POSITIONS crystal
Re 0.000 0.000 0.000
As 0.500 0.500 0.000
Cl 0.134 0.866 0.500
Cl 0.866 0.134 0.500
```